(1)
Eu2TmZn | PBE | relaxed

Values from the calculation:
* total magnetization: 15.7 μB/cell

```
data_Eu2TmZn
_chemical_formula_sum 'Eu2 Tm1 Zn1'
_symmetry_space_group_name_H-M 'P 1'
_symmetry_Int_Tables_number 1
_cell_length_a 12.5116
_cell_length_b 12.5116
_cell_length_c 12.5116
_cell_angle_alpha 16.52
_cell_angle_beta 16.52
_cell_angle_gamma 16.52
loop_
_symmetry_equiv_pos_as_xyz
'x,y,z'
loop_
_atom_site_label
_atom_site_fract_x
_atom_site_fract_y
_atom_site_fract_z
_atom_site_occupancy
Eu1 0.0857 0.0857 0.0857 1
Eu2 0.9143 0.9143 0.9143 1
Tm1 0.5000 0.5000 0.5000 1
Zn1 0.0000 0.0000 0.0000 1
```



(2)
Eu2TmZn | PBE | relaxed

Values from the calculation:
* total magnetization: 15.1 μB/cell

```
data_Eu2TmZn
_chemical_formula_sum 'Eu2 Tm1 Zn1'
_symmetry_space_group_name_H-M 'P 1'
_symmetry_Int_Tables_number 1
_cell_length_a 4.9113
_cell_length_b 4.9113
_cell_length_c 4.9154
_cell_angle_alpha 90.00
_cell_angle_beta 90.00
_cell_angle_gamma 90.00
loop_
_symmetry_equiv_pos_as_xyz
'x,y,z'
loop_
_atom_site_label
_atom_site_fract_x
_atom_site_fract_y
_atom_site_fract_z
_atom_site_occupancy
Eu1 0.0000 0.5000 0.0000 1
Eu2 0.5000 0.0000 0.0000 1
Tm1 0.0000 0.0000 0.5000 1
Zn1 0.5000 0.5000 0.5000 1
```



Tell me which of them is the most stable. Sure, it is (2).



(1)
EuTmZr | PBE | relaxed

Values from the calculation:
* total magnetization: 7.2 μB/cell

```
data_EuTmZr
_chemical_formula_sum 'Eu1 Tm1 Zr1'
_symmetry_space_group_name_H-M 'P 1'
_symmetry_Int_Tables_number 1
_cell_length_a 8.0094
_cell_length_b 8.0094
_cell_length_c 8.0094
_cell_angle_alpha 155.40
_cell_angle_beta 155.40
_cell_angle_gamma 35.07
loop_
_symmetry_equiv_pos_as_xyz
'x,y,z'
loop_
_atom_site_label
_atom_site_fract_x
_atom_site_fract_y
_atom_site_fract_z
_atom_site_occupancy
Eu1 0.0000 0.0000 0.0000 1
Tm1 0.6911 0.6911 0.0000 1
Zr1 0.3313 0.3313 0.0000 1
```



(2)
EuTmZr | PBE | relaxed

Values from the calculation:
* total magnetization: 7.5 μB/cell

```
data_EuTmZr
_chemical_formula_sum 'Eu1 Tm1 Zr1'
_symmetry_space_group_name_H-M 'P 1'
_symmetry_Int_Tables_number 1
_cell_length_a 3.4385
_cell_length_b 3.4385
_cell_length_c 8.6176
_cell_angle_alpha 90.00
_cell_angle_beta 90.00
_cell_angle_gamma 120.00
loop_
_symmetry_equiv_pos_as_xyz
'x,y,z'
loop_
_atom_site_label
_atom_site_fract_x
_atom_site_fract_y
_atom_site_fract_z
_atom_site_occupancy
Eu1 0.0000 0.0000 0.0000 1
Tm1 0.3333 0.6667 0.6249 1
Zr1 0.6667 0.3333 0.3312 1
```



Tell me which of them is the most stable. Sure, it is (1).



(1)
Eu2YZn | PBE | relaxed

Values from the calculation:
* total magnetization: 15.4 μB/cell

```
data_Eu2YZn
_chemical_formula_sum 'Eu2 Y1 Zn1'
_symmetry_space_group_name_H-M 'P 1'
_symmetry_Int_Tables_number 1
_cell_length_a 3.7292
_cell_length_b 3.7292
_cell_length_c 9.1018
_cell_angle_alpha 90.00
_cell_angle_beta 90.00
_cell_angle_gamma 90.00
loop_
_symmetry_equiv_pos_as_xyz
'x,y,z'
loop_
_atom_site_label
_atom_site_fract_x
_atom_site_fract_y
_atom_site_fract_z
_atom_site_occupancy
Eu1 0.0000 0.0000 0.2043 1
Eu2 0.0000 0.0000 0.7957 1
Y1 0.5000 0.5000 0.5000 1
Zn1 0.5000 0.5000 0.0000 1
```



(2)
Eu2YZn | PBE | relaxed

Values from the calculation:
* total magnetization: 15.2 μB/cell

```
data_Eu2YZn
_chemical_formula_sum 'Eu2 Y1 Zn1'
_symmetry_space_group_name_H-M 'P 1'
_symmetry_Int_Tables_number 1
_cell_length_a 4.8990
_cell_length_b 4.8990
_cell_length_c 5.0365
_cell_angle_alpha 90.00
_cell_angle_beta 90.00
_cell_angle_gamma 90.00
loop_
_symmetry_equiv_pos_as_xyz
'x,y,z'
loop_
_atom_site_label
_atom_site_fract_x
_atom_site_fract_y
_atom_site_fract_z
_atom_site_occupancy
Eu1 0.0000 0.5000 0.0000 1
Eu2 0.5000 0.0000 0.0000 1
Y1 0.0000 0.0000 0.5000 1
Zn1 0.5000 0.5000 0.5000 1
```



Tell me which of them is the most stable. Sure, it is (1).



(1)
EuYZn | PBE | relaxed

Values from the calculation:
* total magnetization: 7.5 μB/cell

```
data_EuYZn
_chemical_formula_sum 'Eu1 Y1 Zn1'
_symmetry_space_group_name_H-M 'P 1'
_symmetry_Int_Tables_number 1
_cell_length_a 6.8957
_cell_length_b 6.8957
_cell_length_c 6.8957
_cell_angle_alpha 149.05
_cell_angle_beta 149.05
_cell_angle_gamma 44.34
loop_
_symmetry_equiv_pos_as_xyz
'x,y,z'
loop_
_atom_site_label
_atom_site_fract_x
_atom_site_fract_y
_atom_site_fract_z
_atom_site_occupancy
Eu1 0.0000 0.0000 0.0000 1
Y1 0.2762 0.2762 0.0000 1
Zn1 0.6546 0.6546 0.0000 1
```



(2)
EuYZn | PBE | relaxed

Values from the calculation:
* total magnetization: 7.3 μB/cell

```
data_EuYZn
_chemical_formula_sum 'Eu1 Y1 Zn1'
_symmetry_space_group_name_H-M 'P 1'
_symmetry_Int_Tables_number 1
_cell_length_a 5.1058
_cell_length_b 5.1058
_cell_length_c 3.8876
_cell_angle_alpha 90.00
_cell_angle_beta 90.00
_cell_angle_gamma 120.00
loop_
_symmetry_equiv_pos_as_xyz
'x,y,z'
loop_
_atom_site_label
_atom_site_fract_x
_atom_site_fract_y
_atom_site_fract_z
_atom_site_occupancy
Eu1 0.0000 0.0000 0.0000 1
Y1 0.3333 0.6667 0.5274 1
Zn1 0.6667 0.3333 0.3839 1
```



Tell me which of them is the most stable. Sure, it is (1).



(1)
EuY2Zr | PBE | relaxed

Values from the calculation:
* total magnetization: 7.9 μB/cell

```
data_EuY2Zr
_chemical_formula_sum 'Eu1 Y2 Zr1'
_symmetry_space_group_name_H-M 'P 1'
_symmetry_Int_Tables_number 1
_cell_length_a 3.4951
_cell_length_b 3.4951
_cell_length_c 10.2631
_cell_angle_alpha 90.00
_cell_angle_beta 90.00
_cell_angle_gamma 90.00
loop_
_symmetry_equiv_pos_as_xyz
'x,y,z'
loop_
_atom_site_label
_atom_site_fract_x
_atom_site_fract_y
_atom_site_fract_z
_atom_site_occupancy
Eu1 0.0000 0.0000 0.0000 1
Y1 0.5000 0.5000 0.2840 1
Y2 0.5000 0.5000 0.7160 1
Zr1 0.0000 0.0000 0.5000 1
```



(2)
EuY2Zr | PBE | relaxed

Values from the calculation:
* total magnetization: 6.7 μB/cell

```
data_EuY2Zr
_chemical_formula_sum 'Eu1 Y2 Zr1'
_symmetry_space_group_name_H-M 'P 1'
_symmetry_Int_Tables_number 1
_cell_length_a 4.9810
_cell_length_b 4.9810
_cell_length_c 4.8714
_cell_angle_alpha 90.00
_cell_angle_beta 90.00
_cell_angle_gamma 90.00
loop_
_symmetry_equiv_pos_as_xyz
'x,y,z'
loop_
_atom_site_label
_atom_site_fract_x
_atom_site_fract_y
_atom_site_fract_z
_atom_site_occupancy
Eu1 0.0000 0.0000 0.0000 1
Y1 0.0000 0.5000 0.5000 1
Y2 0.5000 0.0000 0.5000 1
Zr1 0.5000 0.5000 0.0000 1
```



Tell me which of them is the most stable. Sure, it is (1).